[1]
Below is a relaxed structure of Cs2ZrZnBr6, with properties calculated at the PBE level.

Values from the calculation:
Raw total energy in eV per atom: -3.498
Volume in Å³ per cell: 1649.8

a = 11.8161 Å, b = 11.8161 Å, c = 11.8161 Å
α = 90.00°, β = 90.00°, γ = 90.00°
Space group Fm-3m (No. 225)
Asymmetric unit:
Cs: 0.2500 0.2500 0.2500 (multiplicity 8)
Zr: 0.0000 0.0000 0.0000 (multiplicity 4)
Zn: 0.0000 0.0000 0.5000 (multiplicity 4)
Br: 0.0000 0.0000 0.2251 (multiplicity 24)

[2]
Below is a relaxed structure of CuBr2, with properties calculated at the PBE level.

Values from the calculation:
Raw total energy in eV per atom: -2.539
Volume in Å³ per cell: 277.8

a = 12.5595 Å, b = 4.0007 Å, c = 5.5294 Å
α = 90.00°, β = 90.00°, γ = 90.00°
Space group Pnma (No. 62)
Asymmetric unit:
Cu: 0.1273 0.2500 0.0136 (multiplicity 4)
Br: 0.0318 0.7500 0.2490 (multiplicity 4)
Br: 0.2184 0.7500 0.7822 (multiplicity 4)

[3]
Below is a relaxed structure of CuBr2, with properties calculated at the PBE level.

Values from the calculation:
Raw total energy in eV per atom: -2.557
Volume in Å³ per cell: 153.4

a = 3.7200 Å, b = 3.7200 Å, c = 12.8007 Å
α = 90.00°, β = 90.00°, γ = 120.00°
Space group P6_3mc (No. 186)
Asymmetric unit:
Cu: 0.3333 0.6667 0.0000 (multiplicity 2)
Br: 0.0000 0.0000 0.3872 (multiplicity 2)
Br: 0.3333 0.6667 0.6137 (multiplicity 2)

[4]
Below is a relaxed structure of CuBr2, with properties calculated at the PBE level.

Values from the calculation:
Raw total energy in eV per atom: -2.594
Volume in Å³ per cell: 341.9

a = 12.9678 Å, b = 4.1152 Å, c = 6.6534 Å
α = 90.00°, β = 105.64°, γ = 90.00°
Space group C2/c (No. 15)
Asymmetric unit:
Cu: 0.0000 0.0000 0.0000 (multiplicity 4)
Br: 0.1328 0.1456 0.3239 (multiplicity 8)

[5]
Below is a relaxed structure of CuBr2, with properties calculated at the PBE level.

Values from the calculation:
Raw total energy in eV per atom: -2.603
Volume in Å³ per cell: 169.3

a = 3.7650 Å, b = 3.7650 Å, c = 11.9418 Å
α = 90.00°, β = 90.00°, γ = 90.00°
Space group P4_2/nmc (No. 137, origin choice 2)
Asymmetric unit:
Cu: 0.2500 0.7500 0.2500 (multiplicity 2)
Br: 0.2500 0.2500 0.1267 (multiplicity 4)

[6]
Below is a relaxed structure of Cu3Br4, with properties calculated at the PBE level.

Values from the calculation:
Raw total energy in eV per atom: -2.881
Volume in Å³ per cell: 176.1

a = 5.6055 Å, b = 5.6055 Å, c = 5.6055 Å
α = 90.00°, β = 90.00°, γ = 90.00°
Space group P-43m (No. 215)
Asymmetric unit:
Cu: 0.0000 0.0000 0.5000 (multiplicity 3)
Br: 0.2524 0.2524 0.7476 (multiplicity 4)

[7]
Below is a relaxed structure of CuBr2, with properties calculated at the PBE level.

Values from the calculation:
Raw total energy in eV per atom: -2.559
Volume in Å³ per cell: 458.0

a = 3.6974 Å, b = 3.6974 Å, c = 38.6882 Å
α = 90.00°, β = 90.00°, γ = 120.00°
Space group R-3m (No. 166, hexagonal axes)
Asymmetric unit:
Cu: 0.0000 0.0000 0.0000 (multiplicity 3)
Cu: 0.0000 0.0000 0.5000 (multiplicity 3)
Br: 0.0000 0.0000 0.1292 (multiplicity 6)
Br: 0.0000 0.0000 0.2959 (multiplicity 6)

[8]
Below is a relaxed structure of CuBr3, with properties calculated at the PBE level.

Values from the calculation:
Raw total energy in eV per atom: -2.254
Volume in Å³ per cell: 325.4

a = 3.9664 Å, b = 3.9664 Å, c = 23.8846 Å
α = 90.00°, β = 90.00°, γ = 120.00°
Space group R-3m (No. 166, hexagonal axes)
Asymmetric unit:
Cu: 0.0000 0.0000 0.0000 (multiplicity 3)
Br: 0.0000 0.0000 0.3898 (multiplicity 6)
Br: 0.0000 0.0000 0.5000 (multiplicity 3)

Look up the volume of the seventh one. 458.0 Å³ per cell